Run i
A plane-wave DFT calculation with GGA-PBE was carried out for a geometry-optimized SrBrF2 structure.

Calculated values
M_tot: 0.25 μB per atom

Lattice parameters (Å, degrees): 6.611 6.611 6.611 90.00 90.00 90.00
Space group Fm-3m (No. 225)
One atom of each set of equivalent atoms:
Sr: 0.000 0.000 0.000
Br: 0.000 0.000 0.500
F: 0.250 0.250 0.250

Run ii
A plane-wave DFT calculation with GGA-PBE was carried out for a geometry-optimized SrBrF2 structure.

Calculated values
M_tot: 0.25 μB per atom

Lattice parameters (Å, degrees): 3.8266 3.8266 27.8850 90.00 90.00 120.00
Space group R-3m (No. 166, hexagonal axes)
One atom of each set of equivalent atoms:
Sr: 0.0000 0.0000 0.0000
Br: 0.0000 0.0000 0.5000
F: 0.0000 0.0000 0.3696

Most stable one: run ii, least stable one: run i.

Run i
A plane-wave DFT calculation with GGA-PBE was carried out for a geometry-optimized Sr2BrF structure.

Calculated values
M_tot: 0.32 μB per atom

Lattice parameters (Å, degrees): 6.678 6.678 12.570 90.00 90.00 90.00
Space group I-42d (No. 122)
One atom of each set of equivalent atoms:
Sr: 0.183 0.250 0.125
Br: 0.000 0.000 0.500
F: 0.000 0.000 0.000

Run ii
A plane-wave DFT calculation with GGA-PBE was carried out for a geometry-optimized Sr2BrF structure.

Calculated values
M_tot: 0.39 μB per atom

Lattice parameters (Å, degrees): 7.697 7.697 7.697 90.00 90.00 90.00
Space group Fm-3m (No. 225)
One atom of each set of equivalent atoms:
Sr: 0.250 0.250 0.250
Br: 0.000 0.000 0.000
F: 0.000 0.000 0.500

Most stable one: run i, least stable one: run ii.